AcTb5DyHo2 | GGA-PBE | relaxed

Summary:
D(E_F) = 47.1 states/eV per cell
Calculated total energy = -4.404 eV per atom
ΔH_f (0 K) = 3.5 kcal/mol of atoms

a = 5.507 Å, b = 23.900 Å, c = 9.335 Å
α = 90.00°, β = 90.00°, γ = 90.00°
Space group Cmc2_1 (No. 36)
Inequivalent atoms, fractional coordinates:
1 Ac 0.000 0.102 0.000 [4 per cell]
2 Tb 0.000 0.024 0.321 [4 per cell]
3 Tb 0.000 0.104 0.601 [4 per cell]
4 Tb 0.000 0.191 0.298 [4 per cell]
5 Tb 0.000 0.243 0.938 [4 per cell]
6 Tb 0.000 0.491 0.097 [4 per cell]
7 Dy 0.000 0.260 0.611 [4 per cell]
8 Ho 0.000 0.329 0.250 [4 per cell]
9 Ho 0.000 0.387 0.854 [4 per cell]

AcTbDy2Ho6 | GGA-PBE | relaxed

Summary:
D(E_F) = 60.5 states/eV per cell
Calculated total energy = -4.409 eV per atom
ΔH_f (0 K) = 3.0 kcal/mol of atoms

a = 9.183 Å, b = 15.212 Å, c = 9.484 Å
α = 90.00°, β = 94.99°, γ = 90.00°
Space group C2/c (No. 15)
Inequivalent atoms, fractional coordinates:
1 Ac 0.000 0.030 0.250 [4 per cell]
2 Tb 0.000 0.412 0.750 [4 per cell]
3 Dy 0.242 0.443 0.451 [8 per cell]
4 Ho 0.060 0.189 0.942 [8 per cell]
5 Ho 0.101 0.389 0.116 [8 per cell]
6 Ho 0.213 0.230 0.319 [8 per cell]

AcTbDyHo | GGA-PBE | relaxed

Summary:
D(E_F) = 16.3 states/eV per cell
Calculated total energy = -4.414 eV per atom
ΔH_f (0 K) = 1.5 kcal/mol of atoms
E above lowest polymorph = 0.0 meV/atom

a = 3.6770 Å, b = 3.6770 Å, c = 35.4278 Å
α = 90.00°, β = 90.00°, γ = 120.00°
Space group R3m (No. 160, hexagonal axes)
Inequivalent atoms, fractional coordinates:
1 Ac 0.0000 0.0000 0.0000 [3 per cell]
2 Tb 0.0000 0.0000 0.2460 [3 per cell]
3 Dy 0.0000 0.0000 0.4210 [3 per cell]
4 Ho 0.0000 0.0000 0.8337 [3 per cell]

AcTbDyHo | GGA-PBE | relaxed

Summary:
D(E_F) = 28.3 states/eV per cell
Calculated total energy = -4.347 eV per atom
ΔH_f (0 K) = 3.1 kcal/mol of atoms
E above lowest polymorph = 67.9 meV/atom

a = 8.232 Å, b = 8.232 Å, c = 8.232 Å
α = 90.00°, β = 90.00°, γ = 90.00°
Space group F-43m (No. 216)
Inequivalent atoms, fractional coordinates:
1 Ac 0.000 0.000 0.000 [4 per cell]
2 Tb 0.000 0.000 0.500 [4 per cell]
3 Dy 0.250 0.250 0.250 [4 per cell]
4 Ho 0.250 0.250 0.750 [4 per cell]

AcTbDy2Ho | GGA-PBE | relaxed

Summary:
D(E_F) = 17.5 states/eV per cell
Calculated total energy = -4.460 eV per atom
ΔH_f (0 K) = 1.0 kcal/mol of atoms

a = 6.362 Å, b = 5.808 Å, c = 9.742 Å
α = 90.00°, β = 108.72°, γ = 90.00°
Space group P2_1/m (No. 11)
Inequivalent atoms, fractional coordinates:
1 Ac 0.069 0.250 0.300 [2 per cell]
2 Tb 0.337 0.750 0.499 [2 per cell]
3 Dy 0.277 0.250 0.707 [2 per cell]
4 Dy 0.463 0.250 0.095 [2 per cell]
5 Ho 0.135 0.750 0.096 [2 per cell]

AcTb6Dy2Ho3 | GGA-PBE | relaxed

Summary:
D(E_F) = 30.7 states/eV per cell
Calculated total energy = -4.538 eV per atom
ΔH_f (0 K) = 0.7 kcal/mol of atoms

a = 6.205 Å, b = 10.740 Å, c = 11.875 Å
α = 90.00°, β = 99.99°, γ = 90.00°
Space group C2/m (No. 12)
Inequivalent atoms, fractional coordinates:
1 Ac 0.000 0.000 0.000 [2 per cell]
2 Tb 0.246 0.332 0.745 [8 per cell]
3 Tb 0.249 0.500 0.255 [4 per cell]
4 Dy 0.000 0.333 0.000 [4 per cell]
5 Ho 0.000 0.167 0.500 [4 per cell]
6 Ho 0.000 0.500 0.500 [2 per cell]

AcTbDy5Ho2 | GGA-PBE | relaxed

Summary:
D(E_F) = 55.3 states/eV per cell
Calculated total energy = -4.381 eV per atom
ΔH_f (0 K) = 3.8 kcal/mol of atoms

a = 5.616 Å, b = 19.554 Å, c = 11.042 Å
α = 90.00°, β = 90.00°, γ = 90.00°
Space group Cmc2_1 (No. 36)
Inequivalent atoms, fractional coordinates:
1 Ac 0.000 0.212 0.000 [4 per cell]
2 Tb 0.000 0.417 0.459 [4 per cell]
3 Dy 0.000 0.020 0.034 [4 per cell]
4 Dy 0.000 0.289 0.292 [4 per cell]
5 Dy 0.000 0.298 0.703 [4 per cell]
6 Dy 0.000 0.401 0.025 [4 per cell]
7 Dy 0.000 0.477 0.738 [4 per cell]
8 Ho 0.000 0.102 0.741 [4 per cell]
9 Ho 0.000 0.116 0.320 [4 per cell]

AcTbDyHo2 | GGA-PBE | relaxed

Summary:
D(E_F) = 17.5 states/eV per cell
Calculated total energy = -4.455 eV per atom
ΔH_f (0 K) = 1.0 kcal/mol of atoms

a = 6.353 Å, b = 5.802 Å, c = 9.730 Å
α = 90.00°, β = 108.70°, γ = 90.00°
Space group P2_1/m (No. 11)
Inequivalent atoms, fractional coordinates:
1 Ac 0.069 0.250 0.300 [2 per cell]
2 Tb 0.336 0.750 0.500 [2 per cell]
3 Dy 0.135 0.750 0.096 [2 per cell]
4 Ho 0.278 0.250 0.707 [2 per cell]
5 Ho 0.463 0.250 0.095 [2 per cell]

Number 1: total moment 0.000 μB per formula unit. Number 2: total moment 0.000 μB per formula unit. Number 3: total moment 0.001 μB per formula unit. Number 4: total moment 0.000 μB per formula unit. Number 5: total moment 0.000 μB per formula unit. Number 6: total moment 0.000 μB per formula unit. Number 7: total moment 0.000 μB per formula unit. Number 8: total moment 0.000 μB per formula unit.